1.
Compound: Ba2TiAu
Source: Alexandria via LeMat-Bulk
Functional: SCAN
Structure: PBEsol geometry

space group: Fm-3m, No. 225
magnetization: 4.5 μB/f.u.
formation enthalpy at 0 K: 165 meV per atom
D(E_F): 3.6 states/eV/cell

Unit cell a=5.641 b=5.641 c=5.641 alpha=60.00 beta=60.00 gamma=60.00
Atoms (fractional coordinates):
Au: 0.500 0.500 0.500
Ba: 0.250 0.250 0.250
Ba: 0.750 0.750 0.750
Ti: 0.000 0.000 0.000

2.
Compound: BaTl2Au
Source: Alexandria via LeMat-Bulk
Functional: SCAN
Structure: PBEsol geometry

space group: R3m, No. 160
magnetization: 0.0 μB/f.u.
formation enthalpy at 0 K: -479 meV per atom
D(E_F): 1.9 states/eV/cell

Unit cell a=4.871 b=4.871 c=6.549 alpha=68.17 beta=68.17 gamma=60.00
Atoms (fractional coordinates):
Tl: 0.029 0.029 0.914
Tl: 0.793 0.793 0.620
Au: 0.434 0.434 0.699
Ba: 0.244 0.244 0.267

3.
Compound: Ba2TlAu
Source: Alexandria via LeMat-Bulk
Functional: SCAN
Structure: PBEsol geometry

space group: P4mm, No. 99
magnetization: 0.0 μB/f.u.
formation enthalpy at 0 K: -521 meV per atom
D(E_F): 2.4 states/eV/cell

Unit cell a=4.678 b=4.678 c=7.068 alpha=90.00 beta=90.00 gamma=90.00
Atoms (fractional coordinates):
Tl: 0.000 0.000 0.442
Au: 0.500 0.500 0.829
Ba: 0.000 0.000 0.909
Ba: 0.500 0.500 0.320

4.
Compound: Ba2TlAu
Source: Alexandria via LeMat-Bulk
Functional: SCAN
Structure: PBEsol geometry

space group: P4/mmm, No. 123
magnetization: 0.0 μB/f.u.
formation enthalpy at 0 K: -696 meV per atom
D(E_F): 3.7 states/eV/cell

Unit cell a=3.981 b=3.981 c=8.446 alpha=90.00 beta=90.00 gamma=90.00
Atoms (fractional coordinates):
Tl: 0.500 0.500 0.000
Au: 0.500 0.500 0.500
Ba: 0.000 0.000 0.729
Ba: 0.000 0.000 0.271

5.
Compound: BaTl2Au
Source: Alexandria via LeMat-Bulk
Functional: SCAN
Structure: PBEsol geometry

space group: Fm-3m, No. 225
magnetization: 0.0 μB/f.u.
formation enthalpy at 0 K: -298 meV per atom
D(E_F): 1.8 states/eV/cell

Unit cell a=5.346 b=5.346 c=5.346 alpha=60.00 beta=60.00 gamma=60.00
Atoms (fractional coordinates):
Tl: 0.250 0.250 0.250
Tl: 0.750 0.750 0.750
Au: 0.500 0.500 0.500
Ba: 0.000 0.000 0.000

6.
Compound: Ba2TlAu
Source: Alexandria via LeMat-Bulk
Functional: SCAN
Structure: PBEsol geometry

space group: Pmm2, No. 25
magnetization: 0.0 μB/f.u.
formation enthalpy at 0 K: -678 meV per atom
D(E_F): 1.9 states/eV/cell

Unit cell a=3.991 b=5.796 c=5.797 alpha=90.00 beta=90.00 gamma=90.00
Atoms (fractional coordinates):
Tl: 0.500 0.000 0.625
Au: 0.500 0.500 0.124
Ba: 0.000 0.000 0.125
Ba: 0.000 0.500 0.625

Please write out number 4 again, unchanged.
Compound: Ba2TlAu
Source: Alexandria via LeMat-Bulk
Functional: SCAN
Structure: PBEsol geometry

space group: P4/mmm, No. 123
magnetization: 0.0 μB/f.u.
formation enthalpy at 0 K: -696 meV per atom
D(E_F): 3.7 states/eV/cell

Unit cell a=3.981 b=3.981 c=8.446 alpha=90.00 beta=90.00 gamma=90.00
Atoms (fractional coordinates):
Tl: 0.500 0.500 0.000
Au: 0.500 0.500 0.500
Ba: 0.000 0.000 0.729
Ba: 0.000 0.000 0.271